Entry 1:
Entry from the Alexandria database: a relaxed PbIClO4 crystal (PBE).

Summary:
Raw total energy   -60.5 eV per cell
Total magnetization   0.00 μB/atom
Calculated density   4.5 g/cm³
SG   C2/m (12)

Cell: 6.905 6.905 7.530 Å, 75.02 75.02 69.78°
Element x y z (fractional)
Cl1 0.014 0.014 0.229
Cl2 0.986 0.986 0.771
O1 0.531 0.531 0.187
O2 0.695 0.695 0.488
O3 0.123 0.483 0.170
O4 0.483 0.123 0.170
O5 0.305 0.305 0.512
O6 0.877 0.517 0.830
O7 0.517 0.877 0.830
O8 0.469 0.469 0.813
Pb1 0.806 0.806 0.129
Pb2 0.194 0.194 0.871
I1 0.636 0.636 0.739
I2 0.364 0.364 0.261

***

Entry 2:
Entry from the Alexandria database: a relaxed PbIClO2 crystal (PBE).

Summary:
Raw total energy   -14.0 eV per cell
Total magnetization   0.16 μB/atom
Calculated density   6.4 g/cm³
SG   P4/mmm (123)

Cell: 4.513 4.513 5.106 Å, 90.00 90.00 90.00°
Last column: magnetic moment on the atom in μB.
Element x y z (fractional)
Pb1 0.500 0.500 0.500  -0.01
O1 0.500 0.000 0.000  0.29
O2 0.000 0.500 0.000  0.29
I1 0.000 0.000 0.500  0.00
Cl1 0.000 0.000 0.000  0.13

***

Entry 3:
Entry from the Alexandria database: a relaxed PbIClO2 crystal (PBE).

Summary:
Raw total energy   -17.1 eV per cell
Total magnetization   0.00 μB/atom
Calculated density   5.5 g/cm³
SG   P4/mmm (123)

Cell: 4.234 4.234 6.702 Å, 90.00 90.00 90.00°
Element x y z (fractional)
O1 0.000 0.500 0.000
O2 0.500 0.000 0.000
Pb1 0.000 0.000 0.000
Cl1 0.500 0.500 0.500
I1 0.000 0.000 0.500

***

Entry 4:
Entry from the Alexandria database: a relaxed Pb3ICl2O6 crystal (PBE).

Summary:
Raw total energy   -53.3 eV per cell
Total magnetization   0.00 μB/atom
Calculated density   6.8 g/cm³
SG   C2/m (12)

Cell: 5.283 6.446 7.306 Å, 116.18 85.68 90.00°
Element x y z (fractional)
Pb1 0.500 0.500 0.500
Pb2 0.000 0.500 0.000
Pb3 0.500 0.000 0.500
O1 0.298 0.724 0.881
O2 0.298 0.158 0.881
O3 0.702 0.276 0.119
O4 0.702 0.842 0.119
O5 0.300 0.127 0.253
O6 0.700 0.873 0.747
Cl1 0.933 0.296 0.593
Cl2 0.067 0.704 0.407
I1 0.500 0.000 0.000

***

Entry 5:
Entry from the Alexandria database: a relaxed PrIClO4 crystal (PBE).

Summary:
Raw total energy   -74.3 eV per cell
Total magnetization   0.14 μB/atom
Calculated density   4.5 g/cm³
SG   C2/m (12)

Cell: 6.476 6.476 6.959 Å, 81.90 81.90 70.59°
Last column: magnetic moment on the atom in μB.
Element x y z (fractional)
Pr1 0.785 0.785 0.119  0.02
Pr2 0.215 0.215 0.881  0.02
I1 0.371 0.371 0.302  0.10
I2 0.629 0.629 0.698  0.10
O1 0.450 0.450 0.785  0.25
O2 0.511 0.864 0.850  0.05
O3 0.238 0.238 0.525  0.32
O4 0.762 0.762 0.475  0.32
O5 0.136 0.489 0.150  0.05
O6 0.489 0.136 0.150  0.05
O7 0.864 0.511 0.850  0.05
O8 0.550 0.550 0.215  0.25
Cl1 0.027 0.027 0.231  0.04
Cl2 0.973 0.973 0.769  0.04

***

Entry 6:
Entry from the Alexandria database: a relaxed PuICl2O6 crystal (PBE).

Summary:
Raw total energy   -58.6 eV per cell
Total magnetization   0.10 μB/atom
Calculated density   4.3 g/cm³
SG   P-1 (2)

Cell: 5.668 5.660 7.974 Å, 58.27 78.09 91.95°
Last column: magnetic moment on the atom in μB.
Element x y z (fractional)
O1 0.802 0.767 0.917  -0.04
O2 0.300 0.775 0.006  -0.05
O3 0.862 0.734 0.264  -0.06
O4 0.198 0.233 0.083  -0.04
O5 0.138 0.266 0.736  -0.06
O6 0.700 0.225 0.994  -0.05
Cl1 0.398 0.819 0.545  0.00
Cl2 0.602 0.181 0.455  0.00
I1 0.500 0.500 0.000  0.01
Pu1 0.000 0.000 0.000  1.26

***

Entry 7:
Entry from the Alexandria database: a relaxed Rb12I4ClO3 crystal (PBE).

Summary:
Raw total energy   -58.7 eV per cell
Total magnetization   0.00 μB/atom
Calculated density   3.3 g/cm³
SG   Im-3m (229)

Cell: 10.189 10.189 10.189 Å, 109.47 109.47 109.47°
Element x y z (fractional)
I1 0.000 0.000 0.500
I2 0.000 0.500 0.000
I3 0.500 0.500 0.500
I4 0.500 0.000 0.000
Rb1 0.276 0.276 0.000
Rb2 0.000 0.724 0.724
Rb3 0.250 0.750 0.500
Rb4 0.276 0.000 0.276
Rb5 0.250 0.500 0.750
Rb6 0.750 0.250 0.500
Rb7 0.724 0.000 0.724
Rb8 0.500 0.250 0.750
Rb9 0.000 0.276 0.276
Rb10 0.750 0.500 0.250
Rb11 0.724 0.724 0.000
Rb12 0.500 0.750 0.250
O1 0.500 0.500 0.000
O2 0.500 0.000 0.500
O3 0.000 0.500 0.500
Cl1 0.000 0.000 0.000

***

Entry 8:
Entry from the Alexandria database: a relaxed RbIClO2 crystal (PBE).

Summary:
Raw total energy   -12.1 eV per cell
Total magnetization   0.13 μB/atom
Calculated density   4.0 g/cm³
SG   P4/mmm (123)

Cell: 4.653 4.653 5.383 Å, 90.00 90.00 90.00°
Last column: magnetic moment on the atom in μB.
Element x y z (fractional)
Rb1 0.500 0.500 0.500  0.00
I1 0.000 0.000 0.500  0.06
O1 0.500 0.000 0.000  0.21
O2 0.000 0.500 0.000  0.21
Cl1 0.000 0.000 0.000  0.04